Crystalline Dy5Ni2Bi at its relaxed geometry. Source: Alexandria via LeMat-Bulk, functional PBE-GGA.

For the calculated density, the calculation gives 9.4 Mg/m³. The calculation puts the formation energy at -457 meV per atom.

Structure (CIF):
```
data_Dy5Ni2Bi
_space_group_name_H-M_alt 'P 1'
_space_group_IT_number 1
_cell_length_a 8.6783
_cell_length_b 8.6783
_cell_length_c 8.6783
_cell_angle_alpha 127.32
_cell_angle_beta 127.32
_cell_angle_gamma 77.73
loop_
_space_group_symop_operation_xyz
'x,y,z'
loop_
_atom_site_label
_atom_site_fract_x
_atom_site_fract_y
_atom_site_fract_z
Ni1 0.6317 0.8683 0.5000
Dy1 0.7897 0.2897 0.8118
Ni2 0.8683 0.3683 0.2367
Dy2 0.7103 0.5222 0.5000
Dy3 0.0000 0.0000 0.0000
Dy4 0.5222 0.0222 0.8118
Dy5 0.0222 0.2103 0.5000
Dy6 0.4778 0.9778 0.1882
Dy7 0.2103 0.7103 0.1882
Dy8 0.9778 0.7897 0.5000
Bi1 0.2500 0.2500 0.0000
Bi2 0.7500 0.7500 0.0000
Dy9 0.2897 0.4778 0.5000
Ni3 0.1317 0.6317 0.7633
Dy10 0.5000 0.5000 0.0000
Ni4 0.3683 0.1317 0.5000
```

***

Crystalline PrGdCdAu at its relaxed geometry. Source: Alexandria via LeMat-Bulk, functional PBE-GGA.

For the calculated density, the calculation gives 9.5 Mg/m³. The calculation puts the formation energy at -522 meV per atom.

Structure (CIF):
```
data_PrGdCdAu
_space_group_name_H-M_alt 'P 1'
_space_group_IT_number 1
_cell_length_a 5.3128
_cell_length_b 5.3128
_cell_length_c 5.3128
_cell_angle_alpha 60.00
_cell_angle_beta 60.00
_cell_angle_gamma 60.00
loop_
_space_group_symop_operation_xyz
'x,y,z'
loop_
_atom_site_label
_atom_site_fract_x
_atom_site_fract_y
_atom_site_fract_z
Cd1 0.7500 0.7500 0.7500
Au1 0.2500 0.2500 0.2500
Gd1 0.0000 0.0000 0.0000
Pr1 0.5000 0.5000 0.5000
```

***

Crystalline EuAl2Tl at its relaxed geometry. Source: Alexandria via LeMat-Bulk, functional PBE-GGA.

For the calculated density, the calculation gives 7.3 Mg/m³. The calculation puts the formation energy at -144 meV per atom.

Structure (CIF):
```
data_EuAl2Tl
_space_group_name_H-M_alt 'P 1'
_space_group_IT_number 1
_cell_length_a 4.4933
_cell_length_b 4.5535
_cell_length_c 4.5535
_cell_angle_alpha 90.00
_cell_angle_beta 90.00
_cell_angle_gamma 90.00
loop_
_space_group_symop_operation_xyz
'x,y,z'
loop_
_atom_site_label
_atom_site_fract_x
_atom_site_fract_y
_atom_site_fract_z
Tl1 0.5000 0.5000 0.5000
Al1 0.0000 0.5000 0.0000
Al2 0.0000 0.0000 0.5000
Eu1 0.5000 0.0000 0.0000
```